# PRhCl

A relaxed PRhCl crystal (PBE-GGA, the Alexandria database).

Computed properties:
Density   5.4 g/cm³
Magnetic moment   0.00 μB/f.u.
Relative energy among the computed polymorphs   0.336 eV/atom
Electronic total energy   -4.91 eV/atom
DOS(E_F)   2.089 states/eV/cell
Formation energy from raw total energies   -0.04 eV/atom

a = 6.0757 Å, b = 6.0757 Å, c = 6.0757 Å
α = 151.07°, β = 151.07°, γ = 41.38°
Fractional positions:
P (0.0000, 0.0000, 0.0000)
Rh (0.6015, 0.6015, 0.0000)
Cl (0.2601, 0.2601, 0.0000)


# Ca2PrNd

A relaxed Ca2PrNd crystal (PBE-GGA, the Alexandria database).

Computed properties:
Density   4.0 g/cm³
Magnetic moment   0.23 μB/f.u.
Calculated formation energy   188 meV per atom
Relative energy among the computed polymorphs   0.154 eV/atom
Electronic total energy   -3.20 eV/atom
DOS(E_F)   7.416 states/eV/cell

a = 13.5952 Å, b = 13.5952 Å, c = 13.5952 Å
α = 15.33°, β = 15.33°, γ = 15.33°
Fractional positions:
Ca (0.0884, 0.0884, 0.0884)
Ca (0.9116, 0.9116, 0.9116)
Pr (0.0000, 0.0000, 0.0000)
Nd (0.5000, 0.5000, 0.5000)


# Li7Ag5Sn

A relaxed Li7Ag5Sn crystal (PBE-GGA, the Alexandria database).

Computed properties:
Density   4.8 g/cm³
Magnetic moment   0.00 μB/f.u.
Calculated formation energy   -176 meV per atom
Electronic total energy   -2.61 eV/atom
DOS(E_F)   3.793 states/eV/cell

a = 7.1798 Å, b = 7.1798 Å, c = 7.1798 Å
α = 134.75°, β = 96.80°, γ = 100.23°
Fractional positions:
Li (0.0000, 0.0000, 0.0000)
Li (0.2468, 0.5324, 0.7144)
Li (0.3426, 0.3426, 0.0000)
Li (0.3761, 0.0235, 0.3526)
Li (0.6709, 0.0235, 0.6474)
Li (0.8095, 0.3095, 0.5000)
Li (0.8179, 0.5324, 0.2856)
Ag (0.0235, 0.0333, 0.4949)
Ag (0.0235, 0.5285, 0.9902)
Ag (0.2361, 0.7361, 0.5000)
Ag (0.5383, 0.0333, 0.0098)
Ag (0.5383, 0.5285, 0.5051)
Sn (0.6539, 0.6539, 0.0000)


# NdTmPb

A relaxed NdTmPb crystal (PBE-GGA, the Alexandria database).

Computed properties:
Density   9.3 g/cm³
Magnetic moment   0.00 μB/f.u.
Calculated formation energy   -286 meV per atom
Electronic total energy   -4.60 eV/atom
DOS(E_F)   2.236 states/eV/cell

a = 7.4667 Å, b = 7.4667 Å, c = 7.4667 Å
α = 151.83°, β = 151.83°, γ = 40.27°
Fractional positions:
Nd (0.0000, 0.0000, 0.0000)
Tm (0.3172, 0.3172, 0.0000)
Pb (0.6646, 0.6646, 0.0000)


# Ho8Pu

A relaxed Ho8Pu crystal (PBE-GGA, the Alexandria database).

Computed properties:
Density   9.5 g/cm³
Magnetic moment   6.15 μB/f.u.
Calculated formation energy   46 meV per atom
Electronic total energy   -5.62 eV/atom
DOS(E_F)   16.353 states/eV/cell

a = 7.8386 Å, b = 7.8386 Å, c = 7.8386 Å
α = 95.75°, β = 95.75°, γ = 143.11°
Fractional positions:
Ho (0.0000, 0.3316, 0.3316)
Ho (0.0000, 0.6684, 0.6684)
Ho (0.3316, 0.0000, 0.3316)
Ho (0.3352, 0.3352, 0.6704)
Ho (0.3352, 0.6648, 0.0000)
Ho (0.6648, 0.3352, 0.0000)
Ho (0.6648, 0.6648, 0.3296)
Ho (0.6684, 0.0000, 0.6684)
Pu (0.0000, 0.0000, 0.0000)


# Sr3HfGa

A relaxed Sr3HfGa crystal (PBE-GGA, the Alexandria database).

Computed properties:
Density   3.9 g/cm³
Magnetic moment   2.90 μB/f.u.
Calculated formation energy   660 meV per atom
Relative energy among the computed polymorphs   0.000 eV/atom
Electronic total energy   -2.95 eV/atom
DOS(E_F)   2.197 states/eV/cell

a = 6.0309 Å, b = 6.0309 Å, c = 6.0309 Å
α = 90.00°, β = 90.00°, γ = 90.00°
Fractional positions:
Sr (0.0000, 0.0000, 0.5000)
Sr (0.0000, 0.5000, 0.0000)
Sr (0.5000, 0.0000, 0.0000)
Hf (0.5000, 0.5000, 0.5000)
Ga (0.0000, 0.0000, 0.0000)


# ErPa2C

A relaxed ErPa2C crystal (PBE-GGA, the Alexandria database).

Computed properties:
Density   11.8 g/cm³
Magnetic moment   0.00 μB/f.u.
Calculated formation energy   2 meV per atom
Electronic total energy   -8.19 eV/atom
DOS(E_F)   6.003 states/eV/cell

a = 9.5935 Å, b = 9.5935 Å, c = 9.5935 Å
α = 19.95°, β = 19.95°, γ = 19.95°
Fractional positions:
Er (0.0000, 0.0000, 0.0000)
Pa (0.1136, 0.1136, 0.1136)
Pa (0.8864, 0.8864, 0.8864)
C (0.5000, 0.5000, 0.5000)


# CeSmHgAu

A relaxed CeSmHgAu crystal (PBE-GGA, the Alexandria database).

Computed properties:
Density   10.8 g/cm³
Magnetic moment   1.22 μB/f.u.
Calculated formation energy   -535 meV per atom
Relative energy among the computed polymorphs   0.000 eV/atom
Electronic total energy   -4.09 eV/atom
DOS(E_F)   9.032 states/eV/cell

a = 3.7147 Å, b = 3.7147 Å, c = 7.6408 Å
α = 90.00°, β = 90.00°, γ = 90.00°
Fractional positions:
Ce (0.0000, 0.0000, 0.0000)
Sm (0.0000, 0.0000, 0.4745)
Hg (0.5000, 0.5000, 0.7325)
Au (0.5000, 0.5000, 0.2487)